No. 1
DFT (PBE) results for crystalline ThAl11Re at its relaxed geometry.

It has space group C2/m (No. 12), with a = 5.299 Å, b = 12.782 Å, c = 7.135 Å, α = 90.00°, β = 111.75° and γ = 90.00°. Symmetry generates all atoms from Th at (0.000, 0.000, 0.000), Al at (0.000, 0.500, 0.500), Al at (0.114, 0.392, 0.222), Al at (0.167, 0.174, 0.361), Al at (0.250, 0.250, 0.000) and Re at (0.000, 0.000, 0.500).

As for the volume: 448.9 Å³ per cell. The formation enthalpy at 0 K is -0.214 eV per atom.

---

No. 2
DFT (PBE) results for crystalline Ti6Al2Re at its relaxed geometry.

It has space group Immm (No. 71), with a = 4.354 Å, b = 6.188 Å, c = 12.956 Å, α = 90.00°, β = 90.00° and γ = 90.00°. Symmetry generates all atoms from Ti at (0.000, 0.238, 0.000), Ti at (0.000, 0.257, 0.340), Al at (0.000, 0.500, 0.169) and Re at (0.000, 0.500, 0.500).

As for the volume: 349.0 Å³ per cell. The formation enthalpy at 0 K is 0.222 eV per atom.

---

No. 3
DFT (PBE) results for crystalline Ti4AlRe3 at its relaxed geometry.

It has space group Pmmm (No. 47), with a = 3.172 Å, b = 4.406 Å, c = 8.776 Å, α = 90.00°, β = 90.00° and γ = 90.00°. Symmetry generates all atoms from Ti at (0.000, 0.000, 0.000), Ti at (0.000, 0.000, 0.500), Ti at (0.000, 0.500, 0.241), Al at (0.500, 0.500, 0.500), Re at (0.500, 0.000, 0.256) and Re at (0.500, 0.500, 0.000).

As for the volume: 122.6 Å³ per cell. The formation enthalpy at 0 K is -0.440 eV per atom.

---

No. 4
DFT (PBE) results for crystalline TiAl2Re at its relaxed geometry.

It has space group Fm-3m (No. 225), with a = 6.213 Å, b = 6.213 Å, c = 6.213 Å, α = 90.00°, β = 90.00° and γ = 90.00°. Symmetry generates all atoms from Ti at (0.000, 0.000, 0.000), Al at (0.250, 0.250, 0.250) and Re at (0.000, 0.000, 0.500).

The energy above the most stable polymorph in this dataset comes out at 0.091 eV/atom. As for the volume: 239.8 Å³ per cell. The formation enthalpy at 0 K is -0.223 eV per atom.

---

No. 5
DFT (PBE) results for crystalline Ti5AlRe6 at its relaxed geometry.

It has space group Immm (No. 71), with a = 4.381 Å, b = 6.265 Å, c = 13.138 Å, α = 90.00°, β = 90.00° and γ = 90.00°. Symmetry generates all atoms from Ti at (0.000, 0.000, 0.000), Ti at (0.000, 0.000, 0.339), Ti at (0.000, 0.500, 0.331), Al at (0.000, 0.500, 0.000), Re at (0.000, 0.248, 0.167) and Re at (0.000, 0.257, 0.500).

As for the volume: 360.6 Å³ per cell. The formation enthalpy at 0 K is -0.333 eV per atom.

---

No. 6
DFT (PBE) results for crystalline Ti5Al2Re at its relaxed geometry.

It has space group I4/mmm (No. 139), with a = 4.602 Å, b = 4.602 Å, c = 12.157 Å, α = 90.00°, β = 90.00° and γ = 90.00°. Symmetry generates all atoms from Ti at (0.000, 0.000, 0.000), Ti at (0.000, 0.500, 0.119), Al at (0.000, 0.000, 0.251) and Re at (0.000, 0.000, 0.500).

As for the volume: 257.4 Å³ per cell. The formation enthalpy at 0 K is -0.346 eV per atom.

---

No. 7
DFT (PBE) results for crystalline TiAl3Re at its relaxed geometry.

It has space group Pm-3m (No. 221), with a = 4.682 Å, b = 4.682 Å, c = 4.682 Å, α = 90.00°, β = 90.00° and γ = 90.00°. Symmetry generates all atoms from Ti at (0.000, 0.000, 0.000), Al at (0.000, 0.500, 0.500) and Re at (0.500, 0.500, 0.500).

The energy above the most stable polymorph in this dataset comes out at 0.000 eV/atom. As for the volume: 102.6 Å³ per cell. The formation enthalpy at 0 K is 0.512 eV per atom.

---

No. 8
DFT (PBE) results for crystalline Ti2Al2Re at its relaxed geometry.

It has space group P4/mbm (No. 127), with a = 6.732 Å, b = 6.732 Å, c = 3.448 Å, α = 90.00°, β = 90.00° and γ = 90.00°. Symmetry generates all atoms from Ti at (0.172, 0.328, 0.000), Al at (0.131, 0.631, 0.500) and Re at (0.000, 0.000, 0.500).

The energy above the most stable polymorph in this dataset comes out at 0.048 eV/atom. As for the volume: 156.3 Å³ per cell. The formation enthalpy at 0 K is -0.277 eV per atom.

---

No. 9
DFT (PBE) results for crystalline Ti6Al3Re at its relaxed geometry.

It has space group P2_1/m (No. 11), with a = 7.657 Å, b = 4.582 Å, c = 9.747 Å, α = 90.00°, β = 109.04° and γ = 90.00°. Symmetry generates all atoms from Ti at (0.045, 0.250, 0.413), Ti at (0.164, 0.750, 0.187), Ti at (0.263, 0.250, 0.011), Ti at (0.349, 0.250, 0.316), Ti at (0.358, 0.750, 0.801), Ti at (0.436, 0.250, 0.618), Al at (0.047, 0.750, 0.887), Al at (0.140, 0.250, 0.717), Al at (0.268, 0.750, 0.483) and Re at (0.452, 0.750, 0.098).

As for the volume: 323.2 Å³ per cell. The formation enthalpy at 0 K is -0.357 eV per atom.

---

No. 10
DFT (PBE) results for crystalline Ti4Al2Re at its relaxed geometry.

It has space group Cmmm (No. 65), with a = 4.919 Å, b = 10.217 Å, c = 4.808 Å, α = 90.00°, β = 90.00° and γ = 90.00°. Symmetry generates all atoms from Ti at (0.000, 0.140, 0.000), Ti at (0.000, 0.315, 0.500), Al at (0.000, 0.386, 0.000) and Re at (0.000, 0.000, 0.500).

The energy above the most stable polymorph in this dataset comes out at 0.000 eV/atom. As for the volume: 241.6 Å³ per cell. The formation enthalpy at 0 K is 0.430 eV per atom.

---

No. 11
DFT (PBE) results for crystalline TiAl2Re2 at its relaxed geometry.

It has space group P4/mbm (No. 127), with a = 6.927 Å, b = 6.927 Å, c = 3.264 Å, α = 90.00°, β = 90.00° and γ = 90.00°. Symmetry generates all atoms from Ti at (0.000, 0.000, 0.000), Al at (0.143, 0.357, 0.500) and Re at (0.153, 0.653, 0.000).

The energy above the most stable polymorph in this dataset comes out at 0.132 eV/atom. As for the volume: 156.6 Å³ per cell. The formation enthalpy at 0 K is 0.017 eV per atom.

---

No. 12
DFT (PBE) results for crystalline Ti4AlRe at its relaxed geometry.

It has space group C2/m (No. 12), with a = 7.576 Å, b = 4.353 Å, c = 7.441 Å, α = 90.00°, β = 109.73° and γ = 90.00°. Symmetry generates all atoms from Ti at (0.120, 0.000, 0.357), Ti at (0.130, 0.500, 0.892), Al at (0.000, 0.500, 0.500) and Re at (0.000, 0.000, 0.000).

The energy above the most stable polymorph in this dataset comes out at 0.419 eV/atom. As for the volume: 231.0 Å³ per cell. The formation enthalpy at 0 K is 0.201 eV per atom.